(1)
Density functional theory data (PBE) for a geometry-optimized K2TcBr5 structure.

Geometry as extended XYZ:
```
8
Lattice="5.003 -5.352 0.000 5.003 5.352 0.000 -3.849 0.000 5.801" Properties=species:S:1:pos:R:3 pbc="T T T"
K 5.003 2.727 0.000
K 5.003 -2.727 0.000
Tc 4.000 0.000 3.204
Br 2.535 0.000 1.110
Br 3.972 2.533 3.187
Br 2.972 0.000 5.690
Br 3.972 -2.533 3.187
Br 6.461 0.000 3.867
```

## Properties
- Symmetry: Cm
- Formation energy (no corrections): -965 meV/atom

(2)
Density functional theory data (PBE) for a geometry-optimized K4TcBr structure.

Geometry as extended XYZ:
```
6
Lattice="0.000 5.252 5.252 5.252 0.000 5.252 5.252 5.252 0.000" Properties=species:S:1:pos:R:3 pbc="T T T"
K 1.314 1.314 1.314
K 3.938 3.938 1.314
K 3.938 1.314 3.938
K 1.314 3.938 3.938
Tc 7.878 7.878 7.878
Br 5.252 5.252 5.252
```

## Properties
- Symmetry: F-43m
- Formation energy (no corrections): 680 meV/atom

(3)
Density functional theory data (PBE) for a geometry-optimized KTc2Br structure.

Geometry as extended XYZ:
```
4
Lattice="1.499 -2.600 0.000 1.499 2.600 0.000 0.000 0.000 10.325" Properties=species:S:1:pos:R:3 pbc="T T T"
K 0.000 0.000 0.000
Tc 1.499 0.000 3.005
Tc 1.499 0.000 7.320
Br 0.000 0.000 5.162
```

## Properties
- Symmetry: Cmmm
- Distance to the lowest polymorph of the same formula: 1148 meV per atom
- Formation energy (no corrections): 1368 meV/atom

(4)
Density functional theory data (PBE) for a geometry-optimized KTc4Br structure.

Geometry as extended XYZ:
```
6
Lattice="0.000 3.807 3.807 3.807 0.000 3.807 3.807 3.807 0.000" Properties=species:S:1:pos:R:3 pbc="T T T"
K 0.000 0.000 0.000
Tc 4.746 2.869 2.869
Tc 2.869 4.746 2.869
Tc 2.869 2.869 4.746
Tc 4.746 4.746 4.746
Br 1.904 1.904 1.904
```

## Properties
- Symmetry: F-43m
- Formation energy (no corrections): 1201 meV/atom

Q: Which of these has the lowest formation energy (no corrections)?
A: K2TcBr5